# 1
# MgZnSO | OQMD via LeMat-Bulk | PBE-GGA | relaxed
# Calculated volume (Å³/cell): 250
# Total DFT energy (no corrections) (eV per atom): -4.45
data_MgZnSO
_chemical_formula_sum 'Mg4 Zn4 S4 O4'
_symmetry_space_group_name_H-M 'P c a 21'
_symmetry_Int_Tables_number 29
_cell_length_a 5.910
_cell_length_b 7.893
_cell_length_c 5.354
_cell_angle_alpha 90.00
_cell_angle_beta 90.00
_cell_angle_gamma 90.00
loop_
_symmetry_equiv_pos_as_xyz
'x,y,z'
'-x,-y,z+1/2'
'-x+1/2,y,z+1/2'
'x+1/2,-y,z'
loop_
_atom_site_label
_atom_site_fract_x
_atom_site_fract_y
_atom_site_fract_z
Mg1 0.044 0.163 0.000
Zn1 0.110 0.587 0.908
S1 0.036 0.149 0.522
O1 0.074 0.602 0.535

# 2
# NbAgSb2 | OQMD via LeMat-Bulk | PBE-GGA | relaxed
# Size of the total moment (μB per cell): 0.09
# Calculated volume (Å³/cell): 349
# Total DFT energy (no corrections) (eV per atom): -4.80
data_NbAgSb2
_chemical_formula_sum 'Nb4 Ag4 Sb8'
_symmetry_space_group_name_H-M 'F -4 3 m'
_symmetry_Int_Tables_number 216
_symmetry_space_group_name_Hall 'F -4 2 3'
_cell_length_a 7.042
_cell_length_b 7.042
_cell_length_c 7.042
_cell_angle_alpha 90.00
_cell_angle_beta 90.00
_cell_angle_gamma 90.00
loop_
_atom_site_label
_atom_site_fract_x
_atom_site_fract_y
_atom_site_fract_z
Nb1 0.000 0.000 0.000
Ag1 0.250 0.250 0.250
Sb1 0.000 0.000 0.500
Sb2 0.250 0.250 0.750

# 3
# PuNiB | OQMD via LeMat-Bulk | PBE-GGA | relaxed
# Size of the total moment (μB per cell): 18.63
# Calculated volume (Å³/cell): 193
# Total DFT energy (no corrections) (eV per atom): -7.84
data_PuNiB
_chemical_formula_sum 'Pu4 Ni4 B4'
_symmetry_space_group_name_H-M 'F -4 3 m'
_symmetry_Int_Tables_number 216
_symmetry_space_group_name_Hall 'F -4 2 3'
_cell_length_a 5.775
_cell_length_b 5.775
_cell_length_c 5.775
_cell_angle_alpha 90.00
_cell_angle_beta 90.00
_cell_angle_gamma 90.00
loop_
_atom_site_label
_atom_site_fract_x
_atom_site_fract_y
_atom_site_fract_z
Pu1 0.000 0.000 0.000
Ni1 0.250 0.250 0.250
B1 0.250 0.250 0.750

# 4
# Ho2Fe3Si5 | OQMD via LeMat-Bulk | PBE-GGA | relaxed
# Size of the total moment (μB per cell): 0.02
# Calculated volume (Å³/cell): 581
# Total DFT energy (no corrections) (eV per atom): -6.82
data_Ho2Fe3Si5
_chemical_formula_sum 'Ho8 Fe12 Si20'
_symmetry_space_group_name_H-M 'P 4/m n c'
_symmetry_Int_Tables_number 128
_symmetry_space_group_name_Hall '-P 4 2n'
_cell_length_a 10.330
_cell_length_b 10.330
_cell_length_c 5.449
_cell_angle_alpha 90.00
_cell_angle_beta 90.00
_cell_angle_gamma 90.00
loop_
_atom_site_label
_atom_site_fract_x
_atom_site_fract_y
_atom_site_fract_z
Ho1 0.069 0.236 0.000
Fe1 0.000 0.500 0.250
Fe2 0.123 0.856 0.500
Si1 0.000 0.000 0.266
Si2 0.022 0.320 0.500
Si3 0.178 0.678 0.250